CdTePbO (GGA-PBE, relaxed); SG = P4/nmm (129); excess energy over the best structure of this formula in the dataset = 0.45 eV/f.u.; ρ = 8.1 Mg/m³
1.0
4.456 0.000 0.000
0.000 4.456 0.000
0.000 0.000 9.513
Pb Cd O Te
2 2 2 2
direct
0.750 0.750 0.205
0.250 0.250 0.795
0.250 0.250 0.440
0.750 0.750 0.560
0.250 0.750 0.500
0.750 0.250 0.500
0.750 0.750 0.871
0.250 0.250 0.129

***

TaZnFeBi (GGA-PBE, relaxed); SG = F-43m (216); excess energy over the best structure of this formula in the dataset = 0.48 eV/f.u.; ρ = 11.9 Mg/m³
1.0
4.062 -2.202 -0.528
0.078 -4.593 -0.728
1.213 -1.674 -4.166
Bi Ta Zn Fe
1 1 1 1
direct
0.000 0.000 0.000
0.250 0.250 0.250
0.500 0.500 0.500
0.750 0.750 0.750

***

RbPbAu (GGA-PBE, relaxed); SG = F-43m (216); excess energy over the best structure of this formula in the dataset = 1.49 eV/f.u.; ρ = 6.9 Mg/m³
1.0
0.742 1.289 5.286
-0.901 5.134 1.727
-4.331 1.103 3.191
Au Rb Pb
1 1 1
direct
0.250 0.250 0.250
0.000 0.000 0.000
0.750 0.750 0.750